A | Computed, not measured: a relaxed Tb2Ho6Er3 crystal at the PBE-GGA level of DFT.

```
data_Tb2Ho6Er3
_chemical_formula_sum 'Tb2 Ho6 Er3'
_space_group_name_H-M_alt 'P 1'
_space_group_IT_number 1
_cell_length_a 31.577
_cell_length_b 31.577
_cell_length_c 31.577
_cell_angle_alpha 6.39
_cell_angle_beta 6.39
_cell_angle_gamma 6.39
loop_
_space_group_symop_operation_xyz
'x,y,z'
loop_
_atom_site_label
_atom_site_type_symbol
_atom_site_fract_x
_atom_site_fract_y
_atom_site_fract_z
Tb1 Tb 0.046 0.046 0.046
Tb2 Tb 0.954 0.954 0.954
Ho1 Ho 0.136 0.136 0.136
Ho2 Ho 0.318 0.318 0.318
Ho3 Ho 0.409 0.409 0.409
Ho4 Ho 0.591 0.591 0.591
Ho5 Ho 0.682 0.682 0.682
Ho6 Ho 0.864 0.864 0.864
Er1 Er 0.227 0.227 0.227
Er2 Er 0.500 0.500 0.500
Er3 Er 0.773 0.773 0.773
```

Properties
Fermi-level density of states   15.1 states/eV/f.u.

B | Computed, not measured: a relaxed Tb2Ho6Er3 crystal at the PBE-GGA level of DFT.

```
data_Tb2Ho6Er3
_chemical_formula_sum 'Tb2 Ho6 Er3'
_space_group_name_H-M_alt 'P 1'
_space_group_IT_number 1
_cell_length_a 16.766
_cell_length_b 16.766
_cell_length_c 16.766
_cell_angle_alpha 163.97
_cell_angle_beta 163.97
_cell_angle_gamma 22.75
loop_
_space_group_symop_operation_xyz
'x,y,z'
loop_
_atom_site_label
_atom_site_type_symbol
_atom_site_fract_x
_atom_site_fract_y
_atom_site_fract_z
Tb1 Tb 0.046 0.046 0.000
Tb2 Tb 0.954 0.954 0.000
Ho1 Ho 0.122 0.622 0.500
Ho2 Ho 0.196 0.196 0.000
Ho3 Ho 0.378 0.878 0.500
Ho4 Ho 0.622 0.122 0.500
Ho5 Ho 0.804 0.804 0.000
Ho6 Ho 0.878 0.378 0.500
Er1 Er 0.300 0.300 0.000
Er2 Er 0.500 0.500 0.000
Er3 Er 0.700 0.700 0.000
```

Properties
Fermi-level density of states   16.5 states/eV/f.u.

Preferred: A; penalty for the next structure: 269 meV/atom.

A | Computed, not measured: a relaxed TbHo2Er7 crystal at the PBE-GGA level of DFT.

```
data_TbHo2Er7
_chemical_formula_sum 'Tb1 Ho2 Er7'
_space_group_name_H-M_alt 'P 1'
_space_group_IT_number 1
_cell_length_a 6.070
_cell_length_b 6.083
_cell_length_c 9.264
_cell_angle_alpha 70.89
_cell_angle_beta 70.89
_cell_angle_gamma 80.51
loop_
_space_group_symop_operation_xyz
'x,y,z'
loop_
_atom_site_label
_atom_site_type_symbol
_atom_site_fract_x
_atom_site_fract_y
_atom_site_fract_z
Tb1 Tb 0.000 0.000 0.000
Ho1 Ho 0.400 0.000 0.201
Ho2 Ho 0.600 0.000 0.799
Er1 Er 0.100 0.500 0.300
Er2 Er 0.200 0.000 0.600
Er3 Er 0.300 0.500 0.900
Er4 Er 0.500 0.500 0.500
Er5 Er 0.700 0.500 0.100
Er6 Er 0.800 0.000 0.400
Er7 Er 0.900 0.500 0.700
```

Properties
Fermi-level density of states   14.0 states/eV/f.u.

B | Computed, not measured: a relaxed TbHo2Er7 crystal at the PBE-GGA level of DFT.

```
data_TbHo2Er7
_chemical_formula_sum 'Tb1 Ho2 Er7'
_space_group_name_H-M_alt 'P 1'
_space_group_IT_number 1
_cell_length_a 9.453
_cell_length_b 9.453
_cell_length_c 5.199
_cell_angle_alpha 90.00
_cell_angle_beta 90.00
_cell_angle_gamma 125.69
loop_
_space_group_symop_operation_xyz
'x,y,z'
loop_
_atom_site_label
_atom_site_type_symbol
_atom_site_fract_x
_atom_site_fract_y
_atom_site_fract_z
Tb1 Tb 0.000 0.000 0.000
Ho1 Ho 0.299 0.701 0.500
Ho2 Ho 0.701 0.299 0.500
Er1 Er 0.068 0.289 0.500
Er2 Er 0.199 0.801 0.000
Er3 Er 0.289 0.068 0.500
Er4 Er 0.500 0.500 0.500
Er5 Er 0.711 0.932 0.500
Er6 Er 0.801 0.199 0.000
Er7 Er 0.932 0.711 0.500
```

Properties
Fermi-level density of states   13.2 states/eV/f.u.

Preferred: A; penalty for the next structure: 689 meV/atom.

A | Computed, not measured: a relaxed Tb2Ho7Er crystal at the PBE-GGA level of DFT.

```
data_Tb2Ho7Er
_chemical_formula_sum 'Tb2 Ho7 Er1'
_space_group_name_H-M_alt 'P 1'
_space_group_IT_number 1
_cell_length_a 9.660
_cell_length_b 9.660
_cell_length_c 5.064
_cell_angle_alpha 90.00
_cell_angle_beta 90.00
_cell_angle_gamma 127.14
loop_
_space_group_symop_operation_xyz
'x,y,z'
loop_
_atom_site_label
_atom_site_type_symbol
_atom_site_fract_x
_atom_site_fract_y
_atom_site_fract_z
Tb1 Tb 0.201 0.799 0.000
Tb2 Tb 0.799 0.201 0.000
Ho1 Ho 0.000 0.000 0.000
Ho2 Ho 0.213 0.427 0.000
Ho3 Ho 0.306 0.694 0.500
Ho4 Ho 0.427 0.213 0.000
Ho5 Ho 0.573 0.787 0.000
Ho6 Ho 0.694 0.306 0.500
Ho7 Ho 0.787 0.573 0.000
Er1 Er 0.500 0.500 0.500
```

Properties
Fermi-level density of states   11.5 states/eV/f.u.

B | Computed, not measured: a relaxed Tb2Ho7Er crystal at the PBE-GGA level of DFT.

```
data_Tb2Ho7Er
_chemical_formula_sum 'Tb2 Ho7 Er1'
_space_group_name_H-M_alt 'P 1'
_space_group_IT_number 1
_cell_length_a 6.095
_cell_length_b 6.106
_cell_length_c 9.309
_cell_angle_alpha 102.62
_cell_angle_beta 109.02
_cell_angle_gamma 99.57
loop_
_space_group_symop_operation_xyz
'x,y,z'
loop_
_atom_site_label
_atom_site_type_symbol
_atom_site_fract_x
_atom_site_fract_y
_atom_site_fract_z
Tb1 Tb 0.100 0.001 0.200
Tb2 Tb 0.900 0.999 0.800
Ho1 Ho 0.100 0.500 0.700
Ho2 Ho 0.300 0.000 0.600
Ho3 Ho 0.300 0.501 0.100
Ho4 Ho 0.500 0.000 0.000
Ho5 Ho 0.700 0.000 0.400
Ho6 Ho 0.700 0.499 0.900
Ho7 Ho 0.900 0.500 0.300
Er1 Er 0.500 0.500 0.500
```

Properties
Fermi-level density of states   14.3 states/eV/f.u.

Preferred: B; penalty for the next structure: 678 meV/atom.

A | Computed, not measured: a relaxed Tb2Ho3Er crystal at the PBE-GGA level of DFT.

```
data_Tb2Ho3Er
_chemical_formula_sum 'Tb4 Ho6 Er2'
_space_group_name_H-M_alt 'P 1'
_space_group_IT_number 1
_cell_length_a 6.135
_cell_length_b 6.135
_cell_length_c 11.400
_cell_angle_alpha 90.00
_cell_angle_beta 90.00
_cell_angle_gamma 59.97
loop_
_space_group_symop_operation_xyz
'x,y,z'
loop_
_atom_site_label
_atom_site_type_symbol
_atom_site_fract_x
_atom_site_fract_y
_atom_site_fract_z
Tb1 Tb 0.001 0.333 0.250
Tb2 Tb 0.333 0.001 0.750
Tb3 Tb 0.667 0.999 0.250
Tb4 Tb 0.999 0.667 0.750
Ho1 Ho 0.000 0.000 0.000
Ho2 Ho 0.000 0.000 0.500
Ho3 Ho 0.334 0.334 0.000
Ho4 Ho 0.334 0.334 0.500
Ho5 Ho 0.666 0.666 0.000
Ho6 Ho 0.666 0.666 0.500
Er1 Er 0.334 0.666 0.250
Er2 Er 0.666 0.334 0.750
```

Properties
Fermi-level density of states   7.3 states/eV/f.u.

B | Computed, not measured: a relaxed Tb2Ho3Er crystal at the PBE-GGA level of DFT.

```
data_Tb2Ho3Er
_chemical_formula_sum 'Tb4 Ho6 Er2'
_space_group_name_H-M_alt 'P 1'
_space_group_IT_number 1
_cell_length_a 9.333
_cell_length_b 9.333
_cell_length_c 6.096
_cell_angle_alpha 90.12
_cell_angle_beta 90.12
_cell_angle_gamma 44.39
loop_
_space_group_symop_operation_xyz
'x,y,z'
loop_
_atom_site_label
_atom_site_type_symbol
_atom_site_fract_x
_atom_site_fract_y
_atom_site_fract_z
Tb1 Tb 0.041 0.291 0.416
Tb2 Tb 0.291 0.041 0.916
Tb3 Tb 0.709 0.959 0.084
Tb4 Tb 0.959 0.709 0.584
Ho1 Ho 0.125 0.875 0.250
Ho2 Ho 0.209 0.459 0.083
Ho3 Ho 0.459 0.209 0.583
Ho4 Ho 0.541 0.791 0.417
Ho5 Ho 0.791 0.541 0.917
Ho6 Ho 0.875 0.125 0.750
Er1 Er 0.375 0.625 0.750
Er2 Er 0.625 0.375 0.250
```

Properties
Fermi-level density of states   8.2 states/eV/f.u.

Preferred: A; penalty for the next structure: 15 meV/atom.

A | Computed, not measured: a relaxed Tb4Ho4Er3 crystal at the PBE-GGA level of DFT.

```
data_Tb4Ho4Er3
_chemical_formula_sum 'Tb4 Ho4 Er3'
_space_group_name_H-M_alt 'P 1'
_space_group_IT_number 1
_cell_length_a 3.491
_cell_length_b 5.547
_cell_length_c 17.914
_cell_angle_alpha 81.12
_cell_angle_beta 84.42
_cell_angle_gamma 90.00
loop_
_space_group_symop_operation_xyz
'x,y,z'
loop_
_atom_site_label
_atom_site_type_symbol
_atom_site_fract_x
_atom_site_fract_y
_atom_site_fract_z
Tb1 Tb 0.046 0.045 0.408
Tb2 Tb 0.180 0.680 0.140
Tb3 Tb 0.820 0.320 0.860
Tb4 Tb 0.954 0.955 0.592
Ho1 Ho 0.090 0.590 0.319
Ho2 Ho 0.233 0.233 0.034
Ho3 Ho 0.767 0.767 0.966
Ho4 Ho 0.910 0.410 0.681
Er1 Er 0.364 0.864 0.773
Er2 Er 0.500 0.500 0.500
Er3 Er 0.636 0.136 0.227
```

Properties
Fermi-level density of states   19.6 states/eV/f.u.

B | Computed, not measured: a relaxed Tb4Ho4Er3 crystal at the PBE-GGA level of DFT.

```
data_Tb4Ho4Er3
_chemical_formula_sum 'Tb4 Ho4 Er3'
_space_group_name_H-M_alt 'P 1'
_space_group_IT_number 1
_cell_length_a 10.741
_cell_length_b 10.741
_cell_length_c 10.741
_cell_angle_alpha 161.12
_cell_angle_beta 117.91
_cell_angle_gamma 65.53
loop_
_space_group_symop_operation_xyz
'x,y,z'
loop_
_atom_site_label
_atom_site_type_symbol
_atom_site_fract_x
_atom_site_fract_y
_atom_site_fract_z
Tb1 Tb 0.223 0.223 0.000
Tb2 Tb 0.294 0.500 0.794
Tb3 Tb 0.706 0.500 0.206
Tb4 Tb 0.777 0.777 0.000
Ho1 Ho 0.070 0.330 0.740
Ho2 Ho 0.409 0.670 0.740
Ho3 Ho 0.591 0.330 0.260
Ho4 Ho 0.930 0.670 0.260
Er1 Er 0.000 0.000 0.000
Er2 Er 0.392 0.892 0.500
Er3 Er 0.608 0.108 0.500
```

Properties
Fermi-level density of states   15.2 states/eV/f.u.

Preferred: A; penalty for the next structure: 128 meV/atom.